(A)
Compound: MnFeNi6
Source: Alexandria
Functional: GGA-PBE
Structure: relaxed

Lattice parameters (Å, degrees): 4.2541 4.2541 6.3750 75.16 75.16 67.93
With the nearest neighbours (Å) after each atom.
Positions (direct):
Mn  0.5000  0.5000  0.5000  10 Ni 2.43-2.60
Fe  0.0000  0.0000  0.0000  6 Ni 2.36-2.48
Ni  0.0576  0.5350  0.2992  5 Ni 2.27-2.53, 1 Fe 2.36, 2 Mn 2.43-2.48
Ni  0.5350  0.0576  0.2992  5 Ni 2.27-2.53, 1 Fe 2.36, 2 Mn 2.43-2.48
Ni  0.4650  0.9424  0.7008  5 Ni 2.27-2.53, 1 Fe 2.36, 2 Mn 2.43-2.48
Ni  0.9424  0.4650  0.7008  5 Ni 2.27-2.53, 1 Fe 2.36, 2 Mn 2.43-2.48
Ni  0.3656  0.3656  0.9280  5 Ni 2.35-2.53, 1 Fe 2.48, 1 Mn 2.60
Ni  0.6344  0.6344  0.0720  5 Ni 2.35-2.53, 1 Fe 2.48, 1 Mn 2.60

=====

(B)
Compound: MnFeNi6
Source: Alexandria
Functional: GGA-PBE
Structure: relaxed

Lattice parameters (Å, degrees): 6.1576 6.1576 10.0655 90.00 90.00 109.43
With the nearest neighbours (Å) after each atom.
Positions (direct):
Fe  0.2512  0.7488  0.2500  12 Ni 2.49-2.52
Fe  0.7488  0.2512  0.2500  12 Ni 2.49-2.52
Fe  0.0000  0.0000  0.5009  12 Ni 2.49-2.52
Fe  0.0000  0.0000  0.9993  12 Ni 2.49-2.52
Mn  0.2510  0.7490  0.7500  12 Ni 2.50-2.54
Mn  0.7490  0.2510  0.7500  12 Ni 2.50-2.54
Mn  0.5000  0.5000  0.5003  12 Ni 2.51-2.54
Mn  0.5000  0.5000  0.9998  12 Ni 2.51-2.54
Ni  0.2491  0.7509  0.4976  8 Ni 2.49-2.54, 2 Fe 2.49-2.50, 2 Mn 2.52-2.54
Ni  0.8767  0.6278  0.6237  1 Fe 2.49, 8 Ni 2.50-2.54, 3 Mn 2.52-2.53
Ni  0.1233  0.3722  0.6237  1 Fe 2.49, 8 Ni 2.50-2.54, 3 Mn 2.52-2.53
Ni  0.7509  0.2491  0.4976  8 Ni 2.49-2.54, 2 Fe 2.49-2.50, 2 Mn 2.52-2.54
Ni  0.3722  0.1233  0.6237  1 Fe 2.49, 8 Ni 2.50-2.54, 3 Mn 2.52-2.53
Ni  0.6278  0.8767  0.6237  1 Fe 2.49, 8 Ni 2.50-2.54, 3 Mn 2.52-2.53
Ni  0.5000  0.5000  0.2500  2 Fe 2.50, 2 Mn 2.52, 8 Ni 2.52
Ni  0.1224  0.3735  0.3738  8 Ni 2.49-2.52, 3 Fe 2.50-2.52, 1 Mn 2.54
Ni  0.3735  0.1224  0.3738  8 Ni 2.49-2.52, 3 Fe 2.50-2.52, 1 Mn 2.54
Ni  0.2491  0.7509  0.0024  8 Ni 2.49-2.54, 2 Fe 2.49-2.50, 2 Mn 2.52-2.54
Ni  0.8776  0.6265  0.1263  8 Ni 2.49-2.52, 3 Fe 2.50-2.52, 1 Mn 2.54
Ni  0.1224  0.3735  0.1263  8 Ni 2.49-2.52, 3 Fe 2.50-2.52, 1 Mn 2.54
Ni  0.7509  0.2491  0.0024  8 Ni 2.49-2.54, 2 Fe 2.49-2.50, 2 Mn 2.52-2.54
Ni  0.3735  0.1224  0.1263  8 Ni 2.49-2.52, 3 Fe 2.50-2.52, 1 Mn 2.54
Ni  0.6265  0.8776  0.1263  8 Ni 2.49-2.52, 3 Fe 2.50-2.52, 1 Mn 2.54
Ni  0.5000  0.5000  0.7500  4 Mn 2.50-2.51, 8 Ni 2.53
Ni  0.1233  0.3722  0.8763  1 Fe 2.49, 8 Ni 2.50-2.54, 3 Mn 2.52-2.53
Ni  0.3722  0.1233  0.8763  1 Fe 2.49, 8 Ni 2.50-2.54, 3 Mn 2.52-2.53
Ni  0.0000  0.0000  0.2501  8 Ni 2.50, 4 Fe 2.52
Ni  0.6265  0.8776  0.3738  8 Ni 2.49-2.52, 3 Fe 2.50-2.52, 1 Mn 2.54
Ni  0.8776  0.6265  0.3738  8 Ni 2.49-2.52, 3 Fe 2.50-2.52, 1 Mn 2.54
Ni  0.0000  0.0000  0.7501  8 Ni 2.51, 2 Fe 2.51, 2 Mn 2.52
Ni  0.6278  0.8767  0.8763  1 Fe 2.49, 8 Ni 2.50-2.54, 3 Mn 2.52-2.53
Ni  0.8767  0.6278  0.8763  1 Fe 2.49, 8 Ni 2.50-2.54, 3 Mn 2.52-2.53

=====

Most stable = (B)